[1]
VASP calculation (PBE) on RbSc4Tl2 after structural relaxation.

Values from the calculation:
The density of states at the Fermi level comes out at 15.66 states/eV/cell. The calculation puts the energy relative to the elements at 925.2 meV/atom. As for the total DFT energy (no corrections): -3.5071 eV per atom.

```
data_RbSc4Tl2
_chemical_formula_sum 'Rb2 Sc8 Tl4'
_cell_length_a 4.926
_cell_length_b 4.926
_cell_length_c 15.578
_cell_angle_alpha 90.00
_cell_angle_beta 90.00
_cell_angle_gamma 90.00
_symmetry_space_group_name_H-M 'I 4/m m m'
_symmetry_Int_Tables_number 139
_symmetry_space_group_name_Hall '-I 4 2'
loop_
_atom_site_label
_atom_site_fract_x
_atom_site_fract_y
_atom_site_fract_z
Rb1 0.000 0.000 0.000
Sc1 0.000 0.000 0.181
Sc2 0.000 0.500 0.000
Tl1 0.000 0.000 0.370
```

[2]
VASP calculation (PBE) on CrFeMo2 after structural relaxation.

Values from the calculation:
The density of states at the Fermi level comes out at 6.93 states/eV/cell. The calculation puts the energy relative to the elements at 153.1 meV/atom. As for the total DFT energy (no corrections): -9.7839 eV per atom.

```
data_CrFeMo2
_chemical_formula_sum 'Cr2 Fe2 Mo4'
_cell_length_a 3.113
_cell_length_b 4.303
_cell_length_c 8.277
_cell_angle_alpha 90.00
_cell_angle_beta 90.00
_cell_angle_gamma 90.00
_symmetry_space_group_name_H-M 'I m m m'
_symmetry_Int_Tables_number 71
_symmetry_space_group_name_Hall '-I 2 2'
loop_
_atom_site_label
_atom_site_fract_x
_atom_site_fract_y
_atom_site_fract_z
Cr1 0.000 0.000 0.000
Fe1 0.000 0.000 0.500
Mo1 0.000 0.500 0.255
```

[3]
VASP calculation (PBE) on KAgNCl2 after structural relaxation.

Values from the calculation:
The value obtained for the raw formation energy is 358 meV per atom. The density of states at the Fermi level comes out at 4.03 states/eV/cell. As for the total DFT energy (no corrections): -2.8357 eV per atom.

```
data_KAgNCl2
_chemical_formula_sum 'K1 Ag1 N1 Cl2'
_cell_length_a 5.014
_cell_length_b 5.014
_cell_length_c 6.428
_cell_angle_alpha 90.00
_cell_angle_beta 90.00
_cell_angle_gamma 90.00
_symmetry_space_group_name_H-M 'P 4/m m m'
_symmetry_Int_Tables_number 123
_symmetry_space_group_name_Hall '-P 4 2'
loop_
_atom_site_label
_atom_site_fract_x
_atom_site_fract_y
_atom_site_fract_z
K1 0.000 0.000 0.000
Ag1 0.000 0.000 0.500
N1 0.500 0.500 0.000
Cl1 0.000 0.500 0.500
```

[4]
VASP calculation (PBE) on AlTl after structural relaxation.

Values from the calculation:
The density of states at the Fermi level comes out at 5.04 states/eV/cell. The calculation puts the energy relative to the elements at 657.5 meV/atom. As for the total DFT energy (no corrections): -2.3969 eV per atom.

```
data_AlTl
_chemical_formula_sum 'Al6 Tl6'
_cell_length_a 7.883
_cell_length_b 7.883
_cell_length_c 7.883
_cell_angle_alpha 90.00
_cell_angle_beta 90.00
_cell_angle_gamma 90.00
_symmetry_space_group_name_H-M 'P m -3 n'
_symmetry_Int_Tables_number 223
_symmetry_space_group_name_Hall '-P 4n 2 3'
loop_
_atom_site_label
_atom_site_fract_x
_atom_site_fract_y
_atom_site_fract_z
Al1 0.000 0.250 0.500
Tl1 0.000 0.500 0.250
```

[5]
VASP calculation (PBE) on BaCa3Pt after structural relaxation.

Values from the calculation:
The density of states at the Fermi level comes out at 11.38 states/eV/cell. The calculation puts the energy relative to the elements at -424.0 meV/atom. As for the total DFT energy (no corrections): -3.2177 eV per atom.

```
data_BaCa3Pt
_chemical_formula_sum 'Ba4 Ca12 Pt4'
_cell_length_a 23.804
_cell_length_b 4.345
_cell_length_c 7.755
_cell_angle_alpha 90.00
_cell_angle_beta 106.09
_cell_angle_gamma 90.00
_symmetry_space_group_name_H-M 'C 1 2/m 1'
_symmetry_Int_Tables_number 12
loop_
_symmetry_equiv_pos_as_xyz
'x,y,z'
'-x,-y,-z'
'-x,y,-z'
'x,-y,z'
'x+1/2,y+1/2,z'
'-x+1/2,-y+1/2,-z'
'-x+1/2,y+1/2,-z'
'x+1/2,-y+1/2,z'
loop_
_atom_site_label
_atom_site_fract_x
_atom_site_fract_y
_atom_site_fract_z
Ba1 0.097 0.000 0.258
Ca1 0.058 0.500 0.737
Ca2 0.189 0.000 0.940
Ca3 0.217 0.500 0.609
Pt1 0.203 0.500 0.210
```

[6]
VASP calculation (PBE) on Li2Hg2Ge after structural relaxation.

Values from the calculation:
The density of states at the Fermi level comes out at 2.99 states/eV/cell. The calculation puts the energy relative to the elements at -142.0 meV/atom. As for the total DFT energy (no corrections): -1.9518 eV per atom.

```
data_Li2Hg2Ge
_chemical_formula_sum 'Li4 Hg4 Ge2'
_cell_length_a 7.501
_cell_length_b 7.501
_cell_length_c 3.396
_cell_angle_alpha 90.00
_cell_angle_beta 90.00
_cell_angle_gamma 90.00
_symmetry_space_group_name_H-M 'P 4/m b m'
_symmetry_Int_Tables_number 127
_symmetry_space_group_name_Hall '-P 4 2ab'
loop_
_atom_site_label
_atom_site_fract_x
_atom_site_fract_y
_atom_site_fract_z
Li1 0.145 0.355 0.000
Hg1 0.150 0.650 0.500
Ge1 0.000 0.000 0.000
```

[7]
VASP calculation (PBE) on LiPr4Mg after structural relaxation.

Values from the calculation:
The density of states at the Fermi level comes out at 5.60 states/eV/cell. The calculation puts the energy relative to the elements at 52.9 meV/atom. As for the total DFT energy (no corrections): -3.7182 eV per atom.

```
data_LiPr4Mg
_chemical_formula_sum 'Li1 Pr4 Mg1'
_cell_length_a 3.569
_cell_length_b 5.500
_cell_length_c 9.655
_cell_angle_alpha 89.98
_cell_angle_beta 90.00
_cell_angle_gamma 90.00
_symmetry_space_group_name_H-M 'P 1'
_symmetry_Int_Tables_number 1
loop_
_symmetry_equiv_pos_as_xyz
'x,y,z'
loop_
_atom_site_label
_atom_site_fract_x
_atom_site_fract_y
_atom_site_fract_z
Li1 0.000 0.000 0.000
Pr1 0.007 0.001 0.352
Pr2 0.007 0.500 0.800
Pr3 0.504 0.500 0.131
Pr4 0.505 0.001 0.689
Mg1 0.510 0.501 0.485
```

[8]
VASP calculation (PBE) on P2IrWS after structural relaxation.

Values from the calculation:
The value obtained for the raw formation energy is 1365 meV per atom. The density of states at the Fermi level comes out at 6.93 states/eV/cell. As for the total DFT energy (no corrections): -5.9868 eV per atom.

```
data_P2IrWS
_chemical_formula_sum 'P2 Ir1 W1 S1'
_cell_length_a 4.492
_cell_length_b 4.492
_cell_length_c 4.640
_cell_angle_alpha 90.00
_cell_angle_beta 90.00
_cell_angle_gamma 90.00
_symmetry_space_group_name_H-M 'P 4/m m m'
_symmetry_Int_Tables_number 123
_symmetry_space_group_name_Hall '-P 4 2'
loop_
_atom_site_label
_atom_site_fract_x
_atom_site_fract_y
_atom_site_fract_z
P1 0.000 0.500 0.000
Ir1 0.000 0.000 0.000
W1 0.500 0.500 0.500
S1 0.000 0.000 0.500
```

[9]
VASP calculation (PBE) on Np2PS6 after structural relaxation.

Values from the calculation:
The value obtained for the raw formation energy is -687 meV per atom. The density of states at the Fermi level comes out at 37.49 states/eV/cell. As for the total DFT energy (no corrections): -6.9155 eV per atom.

```
data_Np2PS6
_chemical_formula_sum 'Np4 P2 S12'
_cell_length_a 5.951
_cell_length_b 5.951
_cell_length_c 11.883
_cell_angle_alpha 90.00
_cell_angle_beta 90.00
_cell_angle_gamma 90.00
_symmetry_space_group_name_H-M 'P 42/m n m'
_symmetry_Int_Tables_number 136
_symmetry_space_group_name_Hall '-P 4n 2n'
loop_
_atom_site_label
_atom_site_fract_x
_atom_site_fract_y
_atom_site_fract_z
Np1 0.000 0.000 0.167
P1 0.000 0.000 0.500
S1 0.185 0.185 0.345
S2 0.207 0.207 0.000
```

[10]
VASP calculation (PBE) on InBi3S6 after structural relaxation.

Values from the calculation:
The value obtained for the raw formation energy is -364 meV per atom. As for the total DFT energy (no corrections): -4.2783 eV per atom.

```
data_InBi3S6
_chemical_formula_sum 'In4 Bi12 S24'
_cell_length_a 11.167
_cell_length_b 13.907
_cell_length_c 6.721
_cell_angle_alpha 90.00
_cell_angle_beta 90.00
_cell_angle_gamma 90.00
_symmetry_space_group_name_H-M 'C m c 21'
_symmetry_Int_Tables_number 36
loop_
_symmetry_equiv_pos_as_xyz
'x,y,z'
'-x,-y,z+1/2'
'-x,y,z'
'x,-y,z+1/2'
'x+1/2,y+1/2,z'
'-x+1/2,-y+1/2,z+1/2'
'-x+1/2,y+1/2,z'
'x+1/2,-y+1/2,z+1/2'
loop_
_atom_site_label
_atom_site_fract_x
_atom_site_fract_y
_atom_site_fract_z
In1 0.000 0.197 0.000
Bi1 0.000 0.401 0.604
Bi2 0.188 0.105 0.544
S1 0.000 0.038 0.829
S2 0.000 0.220 0.361
S3 0.161 0.474 0.323
S4 0.170 0.270 0.809
```

[11]
VASP calculation (PBE) on PPt2 after structural relaxation.

Values from the calculation:
The density of states at the Fermi level comes out at 3.51 states/eV/cell. The calculation puts the energy relative to the elements at 465.1 meV/atom. As for the total DFT energy (no corrections): -5.3654 eV per atom.

```
data_PPt2
_chemical_formula_sum 'P1 Pt2'
_cell_length_a 4.5098
_cell_length_b 4.5098
_cell_length_c 2.7345
_cell_angle_alpha 90.00
_cell_angle_beta 90.00
_cell_angle_gamma 120.00
_symmetry_space_group_name_H-M 'P 6/m m m'
_symmetry_Int_Tables_number 191
_symmetry_space_group_name_Hall '-P 6 2'
loop_
_atom_site_label
_atom_site_fract_x
_atom_site_fract_y
_atom_site_fract_z
P1 0.0000 0.0000 0.0000
Pt1 0.3333 0.6667 0.5000
```

[12]
VASP calculation (PBE) on Er4Cd3In2 after structural relaxation.

Values from the calculation:
The density of states at the Fermi level comes out at 14.04 states/eV/cell. The calculation puts the energy relative to the elements at -308.1 meV/atom. As for the total DFT energy (no corrections): -3.2496 eV per atom.

```
data_Er4Cd3In2
_chemical_formula_sum 'Er8 Cd6 In4'
_cell_length_a 8.918
_cell_length_b 5.155
_cell_length_c 10.073
_cell_angle_alpha 90.00
_cell_angle_beta 90.06
_cell_angle_gamma 90.00
_symmetry_space_group_name_H-M 'C 1 2/m 1'
_symmetry_Int_Tables_number 12
loop_
_symmetry_equiv_pos_as_xyz
'x,y,z'
'-x,-y,-z'
'-x,y,-z'
'x,-y,z'
'x+1/2,y+1/2,z'
'-x+1/2,-y+1/2,-z'
'-x+1/2,y+1/2,-z'
'x+1/2,-y+1/2,z'
loop_
_atom_site_label
_atom_site_fract_x
_atom_site_fract_y
_atom_site_fract_z
Er1 0.000 0.000 0.174
Er2 0.167 0.500 0.617
Cd1 0.000 0.000 0.500
Cd2 0.167 0.500 0.967
In1 0.167 0.500 0.293
```

Number 1: spin magnetization 0.0 Bohr magnetons per cell. Number 2: spin magnetization 4.8 Bohr magnetons per cell. Number 3: spin magnetization 2.7 Bohr magnetons per cell. Number 4: spin magnetization 0.0 Bohr magnetons per cell. Number 5: spin magnetization 0.0 Bohr magnetons per cell. Number 6: spin magnetization 0.0 Bohr magnetons per cell. Number 7: spin magnetization 0.0 Bohr magnetons per cell. Number 8: spin magnetization 0.0 Bohr magnetons per cell. Number 9: spin magnetization 10.0 Bohr magnetons per cell. Number 10: spin magnetization 0.0 Bohr magnetons per cell. Number 11: spin magnetization 0.0 Bohr magnetons per cell. Number 12: spin magnetization 0.0 Bohr magnetons per cell.